Here is InAg2Rh after structural relaxation from the Alexandria database. Energies are from PBE-GGA. Values from VASP.

```
&SYSTEM
  ibrav = 0, nat = 4, ntyp = 3
/
ATOMIC_SPECIES
In 114.82 In.upf
Rh 102.91 Rh.upf
Ag 107.87 Ag.upf
ATOMIC_POSITIONS crystal
In 0.5000 0.5000 0.0000
Rh 0.5000 0.5000 0.5000
Ag 0.0000 0.0000 0.7410
Ag 0.0000 0.0000 0.2590
CELL_PARAMETERS angstrom
2.9701 0.0000 0.0000
0.0000 4.2626 0.0000
0.0000 0.0000 5.6154
```

DOS(E_F): 0.602 states/eV/atom
SG: Pmmm, No. 47

=====

Here is In2AgRh2 after structural relaxation from the Alexandria database. Energies are from PBE-GGA. Values from VASP.

```
&SYSTEM
  ibrav = 0, nat = 10, ntyp = 3
/
ATOMIC_SPECIES
Rh 102.91 Rh.upf
Ag 107.87 Ag.upf
In 114.82 In.upf
ATOMIC_POSITIONS crystal
Rh 0.6476 0.8524 0.5000
Rh 0.3524 0.1476 0.5000
Rh 0.8524 0.3524 0.5000
Rh 0.1476 0.6476 0.5000
Ag 0.0000 0.0000 0.0000
Ag 0.5000 0.5000 0.0000
In 0.6491 0.1491 0.0000
In 0.8509 0.6491 0.0000
In 0.1491 0.3509 0.0000
In 0.3509 0.8509 0.0000
CELL_PARAMETERS angstrom
-4.4713 1.5784 6.0047
-3.8706 -6.4944 -1.1750
1.9712 -1.5123 1.8654
```

DOS(E_F): 0.354 states/eV/atom
SG: P4/mbm, No. 127

=====

Here is InAg2Rh after structural relaxation from the Alexandria database. Energies are from PBE-GGA. Values from VASP.

```
&SYSTEM
  ibrav = 0, nat = 4, ntyp = 3
/
ATOMIC_SPECIES
Ag 107.87 Ag.upf
Rh 102.91 Rh.upf
In 114.82 In.upf
ATOMIC_POSITIONS crystal
Ag 0.2547 0.2547 0.2547
Ag 0.7453 0.7453 0.7453
Rh 0.0000 0.0000 0.0000
In 0.5000 0.5000 0.5000
CELL_PARAMETERS angstrom
9.5937 -1.4826 0.0024
9.5937 1.4826 0.0024
9.3639 0.0000 2.5600
```

DOS(E_F): 0.933 states/eV/atom
SG: R-3m, No. 166

=====

Here is InAg2Rh after structural relaxation from the Alexandria database. Energies are from PBE-GGA. Values from VASP.

```
&SYSTEM
  ibrav = 0, nat = 4, ntyp = 3
/
ATOMIC_SPECIES
Rh 102.91 Rh.upf
Ag 107.87 Ag.upf
In 114.82 In.upf
ATOMIC_POSITIONS crystal
Rh 0.5000 0.5000 0.0000
Ag 0.2440 0.2440 0.7575
Ag 0.7560 0.7560 0.2425
In 0.0000 0.0000 0.5000
CELL_PARAMETERS angstrom
1.5619 5.0273 0.0520
-1.5619 5.0273 0.0520
0.0000 1.1757 4.5066
```

DOS(E_F): 0.301 states/eV/atom
SG: C2/m, No. 12

=====

Here is In2Ag2Rh after structural relaxation from the Alexandria database. Energies are from PBE-GGA. Values from VASP.

```
&SYSTEM
  ibrav = 0, nat = 5, ntyp = 3
/
ATOMIC_SPECIES
In 114.82 In.upf
Ag 107.87 Ag.upf
Rh 102.91 Rh.upf
ATOMIC_POSITIONS crystal
In 0.7500 0.2500 0.5000
In 0.2500 0.7500 0.5000
Ag 0.5991 0.5991 0.0000
Ag 0.4009 0.4009 0.0000
Rh 0.0000 0.0000 0.0000
CELL_PARAMETERS angstrom
-2.0358 2.0358 6.4424
2.0358 -2.0358 6.4424
2.0358 2.0358 -6.4424
```

DOS(E_F): 0.715 states/eV/atom
SG: I4/mmm, No. 139

=====

Here is InAgRh after structural relaxation from the Alexandria database. Energies are from PBE-GGA. Values from VASP.

```
&SYSTEM
  ibrav = 0, nat = 3, ntyp = 3
/
ATOMIC_SPECIES
Ag 107.87 Ag.upf
Rh 102.91 Rh.upf
In 114.82 In.upf
ATOMIC_POSITIONS crystal
Ag 0.0000 0.0000 0.0313
Rh 0.3333 0.6667 0.6406
In 0.6667 0.3333 0.3281
CELL_PARAMETERS angstrom
-2.4599 0.5943 3.7139
-1.9847 -1.2485 -3.8340
0.4086 -2.9116 0.7366
```

DOS(E_F): 0.343 states/eV/atom
SG: P3m1, No. 156

=====

Number 1: DFT formation energy 83 meV per atom, mass density 10.12 g/cm³. Number 2: DFT formation energy -184 meV per atom, mass density 9.92 g/cm³. Number 3: DFT formation energy 264 meV per atom, mass density 9.89 g/cm³. Number 4: DFT formation energy -54 meV per atom, mass density 10.20 g/cm³. Number 5: DFT formation energy 526 meV per atom, mass density 8.52 g/cm³. Number 6: DFT formation energy -32 meV per atom, mass density 10.20 g/cm³.